The following is a PBE calculation of Np2Fe3Ir after structural relaxation, from the Alexandria database.

Calculated values
The calculation puts the formation energy at -140 meV/atom. For the density, the calculation gives 14.67 g/cm³.

Cell: 8.622 4.997 5.245 Å, 90.00 123.35 90.00°
Space group C2/m (No. 12)
One atom of each set of equivalent atoms:
Np 0.120 0.000 0.360 [4 per cell]
Fe 0.000 0.500 0.000 [2 per cell]
Fe 0.250 0.250 0.000 [4 per cell]
Ir 0.000 0.500 0.500 [2 per cell]